6
Lattice="0.000 3.810 3.810 3.810 0.000 3.810 3.810 3.810 0.000" Properties=species:S:1:pos:R:3 comment="PBE CaAl4Pt, relaxed" crystal_system=cubic n_ef_per_ev_cell=3.92 formation_energy_ev_per_atom=-0.159 pbc="T T T"
Al 2.862 2.862 2.862
Al 4.757 2.862 4.757
Ca 5.715 5.715 5.715
Pt 0.000 0.000 0.000
Al 4.757 4.757 2.862
Al 2.862 4.757 4.757